Entry 1:
First-principles (GGA-PBE) data for a relaxed structure of KY2Ni, as listed in Alexandria via LeMat-Bulk. Values from VASP.

Values from the calculation:
Space-group type: I-42d, No. 122
ΔH_f (0 K) in kJ/mol of formula units: 144
Density in g/cm3: 3.471

```
&SYSTEM
  ibrav = 0, nat = 8, ntyp = 3
/
ATOMIC_SPECIES
Y 88.91 Y.upf
K 39.10 K.upf
Ni 58.69 Ni.upf
CELL_PARAMETERS angstrom
8.5757 0.0000 0.0000
0.0000 8.5757 0.0000
4.2879 4.2879 3.5855
ATOMIC_POSITIONS crystal
Y 0.7302 0.1250 0.2500
Y 0.3750 0.2698 0.7500
Y 0.0198 0.6250 0.2500
Y 0.8750 0.9802 0.7500
K 0.2500 0.7500 0.5000
K 0.5000 0.5000 0.0000
Ni 0.7500 0.2500 0.5000
Ni 0.0000 0.0000 0.0000
```

Entry 2:
First-principles (GGA-PBE) data for a relaxed structure of K4YNi, as listed in Alexandria via LeMat-Bulk. Values from VASP.

Values from the calculation:
Space-group type: F-43m, No. 216
ΔH_f (0 K) in kJ/mol of formula units: 553
Density in g/cm3: 1.857

```
&SYSTEM
  ibrav = 0, nat = 6, ntyp = 3
/
ATOMIC_SPECIES
K 39.10 K.upf
Y 88.91 Y.upf
Ni 58.69 Ni.upf
CELL_PARAMETERS angstrom
3.2162 0.2792 6.5151
-3.8802 1.7383 5.8984
-1.4762 -5.0653 5.0033
ATOMIC_POSITIONS crystal
K 0.3765 0.3765 0.8705
K 0.3765 0.8705 0.3765
K 0.8705 0.3765 0.3765
K 0.3765 0.3765 0.3765
Y 0.0000 0.0000 0.0000
Ni 0.7500 0.7500 0.7500
```

Entry 3:
First-principles (GGA-PBE) data for a relaxed structure of KY2Ni, as listed in Alexandria via LeMat-Bulk. Values from VASP.

Values from the calculation:
Space-group type: F-43m, No. 216
ΔH_f (0 K) in kJ/mol of formula units: 301
Density in g/cm3: 4.112

```
&SYSTEM
  ibrav = 0, nat = 4, ntyp = 3
/
ATOMIC_SPECIES
Ni 58.69 Ni.upf
Y 88.91 Y.upf
K 39.10 K.upf
CELL_PARAMETERS angstrom
-4.2464 1.0859 -3.1527
-3.3070 -3.9804 -1.5399
-5.0011 -0.2861 2.0144
ATOMIC_POSITIONS crystal
Ni 0.7500 0.7500 0.7500
Y 0.2500 0.2500 0.2500
Y 0.0000 0.0000 0.0000
K 0.5000 0.5000 0.5000
```

Entry 4:
First-principles (GGA-PBE) data for a relaxed structure of KY2Ni, as listed in Alexandria via LeMat-Bulk. Values from VASP.

Values from the calculation:
Space-group type: C2/m, No. 12
ΔH_f (0 K) in kJ/mol of formula units: 260
Density in g/cm3: 4.077

```
&SYSTEM
  ibrav = 0, nat = 4, ntyp = 3
/
ATOMIC_SPECIES
Ni 58.69 Ni.upf
Y 88.91 Y.upf
K 39.10 K.upf
CELL_PARAMETERS angstrom
6.3491 0.0114 -0.0091
-2.7834 5.7065 -0.0091
0.7851 1.2590 3.0912
ATOMIC_POSITIONS crystal
Ni 0.0000 0.5000 0.5000
Y 0.5000 0.5000 0.0000
Y 0.0000 0.0000 0.0000
K 0.5000 0.0000 0.5000
```

Entry 5:
First-principles (GGA-PBE) data for a relaxed structure of KY2Ni, as listed in Alexandria via LeMat-Bulk. Values from VASP.

Values from the calculation:
Space-group type: P4/mmm, No. 123
ΔH_f (0 K) in kJ/mol of formula units: 0
Density in g/cm3: 3.649

```
&SYSTEM
  ibrav = 0, nat = 4, ntyp = 3
/
ATOMIC_SPECIES
Y 88.91 Y.upf
K 39.10 K.upf
Ni 58.69 Ni.upf
CELL_PARAMETERS angstrom
-1.4029 2.8212 1.4329
-2.7704 -1.8520 0.9357
4.6256 -2.3218 9.0998
ATOMIC_POSITIONS crystal
Y 0.0000 0.0000 0.9024
Y 0.0000 0.0000 0.5976
K 0.5000 0.5000 0.2500
Ni 0.5000 0.5000 0.7500
```

Entry 6:
First-principles (GGA-PBE) data for a relaxed structure of KY2Ni, as listed in Alexandria via LeMat-Bulk. Values from VASP.

Values from the calculation:
Space-group type: P4mm, No. 99
ΔH_f (0 K) in kJ/mol of formula units: 42
Density in g/cm3: 3.336

```
&SYSTEM
  ibrav = 0, nat = 4, ntyp = 3
/
ATOMIC_SPECIES
Y 88.91 Y.upf
K 39.10 K.upf
Ni 58.69 Ni.upf
CELL_PARAMETERS angstrom
-0.5732 3.7951 0.0784
-0.7154 -0.1858 3.7668
9.0404 1.3285 1.7825
ATOMIC_POSITIONS crystal
Y 0.0000 0.0000 0.9214
Y 0.5000 0.5000 0.1685
K 0.0000 0.0000 0.5310
Ni 0.5000 0.5000 0.8790
```

Which value of density does entry 1 give?
3.471 g/cm3